The following is a PBE-GGA calculation of a relaxed structure of AgOsPt2, from Alexandria via LeMat-Bulk.

Output
* calculated volume: 15.71 Å³/atom
* ρ: 18.184 g/cm3
* total moment: 0.00 μB per cell
* energy of formation: 0.31 eV/atom
* distance to the lowest polymorph of the same formula: 0.227 eV/atom
* space group: C2/m
* crystal system: monoclinic

a b c (Å): 4.804 4.804 5.025
angles (deg): 98.60 98.60 33.28
Fractional positions:
Ag1 0.000 0.000 0.000
Os1 0.500 0.500 0.500
Pt1 0.242 0.242 0.736
Pt2 0.758 0.758 0.264